YSi2Ag: relaxed, GGA-PBE.

Structure (CIF):
```
data_YSi2Ag
_chemical_formula_sum 'Y1 Si2 Ag1'
_symmetry_space_group_name_H-M 'P m m 2'
_symmetry_Int_Tables_number 25
_symmetry_space_group_name_Hall 'P 2 -2'
_cell_length_a 3.1544
_cell_length_b 4.6359
_cell_length_c 5.2637
_cell_angle_alpha 90.00
_cell_angle_beta 90.00
_cell_angle_gamma 90.00
loop_
_atom_site_label
_atom_site_fract_x
_atom_site_fract_y
_atom_site_fract_z
Y1 0.0000 0.0000 0.0000
Si1 0.5000 0.0000 0.4848
Si2 0.5000 0.5000 0.2332
Ag1 0.5000 0.5000 0.7306
```

Results
For the density, the calculation gives 5.46 g/cm3. Its volume is 19.243 Å³ per atom. The raw formation energy is -0.15 eV per atom. The calculation puts the density of states at the Fermi level at 2.18 states/eV/cell.